No. 1
Entry from the Alexandria database: a geometry-optimized CSe5 structure (PBE-GGA).

extended XYZ file:
```
6
Lattice="2.509 -4.346 0.000 2.509 4.346 0.000 0.000 0.000 8.598" Properties=species:S:1:pos:R:3 pbc="T T T"
Se 1.255 -2.173 4.299
Se 2.509 -1.449 0.000
Se 1.255 2.173 4.299
Se 2.509 0.000 4.299
Se 2.509 1.449 0.000
C 0.000 0.000 0.000
```

Summary:
ΔE_f (raw)	1569	meV per atom
relative energy among the computed polymorphs	1029	meV/atom
crystal system	hexagonal
SG	P6/mmm


No. 2
Entry from the Alexandria database: a geometry-optimized CSe structure (PBE-GGA).

extended XYZ file:
```
4
Lattice="4.032 0.000 0.000 0.000 3.561 -0.014 0.000 0.075 5.180" Properties=species:S:1:pos:R:3 pbc="T T T"
Se 2.016 0.439 0.198
Se 0.000 2.288 3.676
C 0.000 0.511 4.692
C 2.016 2.291 4.363
```

Summary:
ΔE_f (raw)	1563	meV per atom
relative energy among the computed polymorphs	1059	meV/atom
crystal system	monoclinic
SG	P2_1/m


No. 3
Entry from the Alexandria database: a geometry-optimized C7Se structure (PBE-GGA).

extended XYZ file:
```
8
Lattice="0.798 -0.461 4.572 -2.426 2.551 3.060 -3.186 -2.039 2.729" Properties=species:S:1:pos:R:3 pbc="T T T"
C -1.194 -1.250 3.651
C 0.399 -0.231 2.286
C -2.407 0.025 5.180
C -0.814 1.045 3.816
C -2.806 0.256 2.894
C -1.213 1.275 1.530
C -1.593 -1.020 1.365
Se 0.000 0.000 0.000
```

Summary:
ΔE_f (raw)	4243	meV per atom
crystal system	cubic
SG	Fm-3m


No. 4
Entry from the Alexandria database: a geometry-optimized CSe structure (PBE-GGA).

extended XYZ file:
```
8
Lattice="-1.438 -3.568 -3.466 1.916 -2.959 2.250 -7.364 -1.059 4.878" Properties=species:S:1:pos:R:3 pbc="T T T"
Se -6.482 -1.443 3.621
Se -4.542 -2.994 -0.069
Se -7.266 -5.003 3.495
Se -1.842 -2.393 2.307
C -6.226 -5.173 5.056
C -3.502 -3.164 1.492
C -2.902 -4.090 2.196
C -7.542 -3.141 3.510
```

Summary:
ΔE_f (raw)	1014	meV per atom
relative energy among the computed polymorphs	510	meV/atom
crystal system	monoclinic
SG	Cm


No. 5
Entry from the Alexandria database: a geometry-optimized CSe structure (PBE-GGA).

extended XYZ file:
```
16
Lattice="-4.010 -4.232 -3.436 -0.744 -2.634 4.112 -7.827 5.634 2.194" Properties=species:S:1:pos:R:3 pbc="T T T"
Se -4.298 -5.457 1.629
Se -3.354 -0.095 -0.573
Se -8.722 2.838 3.239
Se -7.222 0.980 5.160
Se -4.733 0.119 2.156
Se -4.965 -2.721 0.421
Se -9.620 -0.627 0.730
Se -7.408 0.036 -1.285
C -8.868 1.840 4.749
C -4.401 0.983 0.593
C -6.854 2.826 2.787
C -4.085 -4.389 0.176
C -4.391 -1.723 -1.148
C -4.092 -1.675 1.904
C -7.807 -0.898 0.220
C -9.824 -1.892 2.195
```

Summary:
ΔE_f (raw)	1544	meV per atom
relative energy among the computed polymorphs	1041	meV/atom
crystal system	orthorhombic
SG	P2_12_12_1


No. 6
Entry from the Alexandria database: a geometry-optimized C5Se3 structure (PBE-GGA).

extended XYZ file:
```
8
Lattice="0.796 5.606 -6.196 -5.311 -1.502 6.324 1.496 1.594 1.635" Properties=species:S:1:pos:R:3 pbc="T T T"
C -3.191 4.378 0.929
C 0.398 2.803 -3.098
C -2.655 -0.751 3.162
C 0.000 0.000 0.000
C 0.172 1.321 0.834
Se 0.096 4.719 -2.411
Se -3.115 0.980 4.174
Se -2.257 2.052 0.064
```

Summary:
ΔE_f (raw)	2308	meV per atom
relative energy among the computed polymorphs	907	meV/atom
crystal system	orthorhombic
SG	Cmmm


No. 7
Entry from the Alexandria database: a geometry-optimized CSe structure (PBE-GGA).

extended XYZ file:
```
6
Lattice="0.001 -1.083 -5.322 -2.389 -3.430 3.468 -2.773 1.601 -0.326" Properties=species:S:1:pos:R:3 pbc="T T T"
C -0.880 -1.263 1.277
C -1.509 -2.850 -1.171
C 0.000 -0.399 -1.960
Se -2.979 -1.846 0.375
Se -2.182 -1.064 -2.555
Se 0.000 0.000 0.000
```

Summary:
ΔE_f (raw)	1990	meV per atom
relative energy among the computed polymorphs	1486	meV/atom
crystal system	hexagonal
SG	P-62m


No. 8
Entry from the Alexandria database: a geometry-optimized CSe3 structure (PBE-GGA).

extended XYZ file:
```
4
Lattice="6.635 -0.003 -0.002 5.683 3.425 -0.002 5.683 1.579 3.039" Properties=species:S:1:pos:R:3 pbc="T T T"
Se 9.001 2.500 1.518
Se 4.775 1.327 0.805
Se 13.226 3.674 2.230
C 0.000 0.000 0.000
```

Summary:
ΔE_f (raw)	1187	meV per atom
relative energy among the computed polymorphs	621	meV/atom
crystal system	trigonal
SG	R-3m


No. 9
Entry from the Alexandria database: a geometry-optimized C5Se structure (PBE-GGA).

extended XYZ file:
```
6
Lattice="-0.996 1.148 -2.013 -0.140 -2.217 -1.195 -7.454 -1.162 3.027" Properties=species:S:1:pos:R:3 pbc="T T T"
C -4.988 -0.777 2.025
C -3.727 -0.581 1.513
C -5.987 -1.379 0.596
C -2.466 -0.384 1.001
C -2.603 -0.851 -0.778
Se -0.568 -0.534 -1.604
```

Summary:
ΔE_f (raw)	2164	meV per atom
relative energy among the computed polymorphs	1339	meV/atom
crystal system	tetragonal
SG	P4/mmm


No. 10
Entry from the Alexandria database: a geometry-optimized CSe3 structure (PBE-GGA).

extended XYZ file:
```
4
Lattice="-1.636 1.653 3.950 -1.753 -2.855 3.128 2.253 -0.772 3.916" Properties=species:S:1:pos:R:3 pbc="T T T"
C 0.000 0.000 0.000
Se -0.852 -1.481 8.246
Se -0.284 -0.494 2.749
Se -0.568 -0.987 5.497
```

Summary:
ΔE_f (raw)	1783	meV per atom
relative energy among the computed polymorphs	1217	meV/atom
crystal system	cubic
SG	Fm-3m


No. 11
Entry from the Alexandria database: a geometry-optimized C2Se structure (PBE-GGA).

extended XYZ file:
```
3
Lattice="3.007 0.000 0.000 0.000 3.007 0.000 0.000 0.000 4.091" Properties=species:S:1:pos:R:3 pbc="T T T"
C 0.000 0.000 2.046
C 1.503 1.503 0.000
Se 0.000 0.000 0.000
```

Summary:
ΔE_f (raw)	3160	meV per atom
relative energy among the computed polymorphs	2889	meV/atom
crystal system	tetragonal
SG	P4/mmm


No. 12
Entry from the Alexandria database: a geometry-optimized CSe3 structure (PBE-GGA).

extended XYZ file:
```
4
Lattice="-5.783 1.369 2.093 2.275 -5.542 1.951 -0.404 6.273 0.426" Properties=species:S:1:pos:R:3 pbc="T T T"
Se -0.497 0.306 2.334
Se -4.771 3.469 2.688
Se -1.793 -2.039 2.038
C -0.668 0.825 0.272
```

Summary:
ΔE_f (raw)	1135	meV per atom
relative energy among the computed polymorphs	569	meV/atom
crystal system	orthorhombic
SG	Imm2